Entry 1:
Entry from Alexandria: an optimized crystal structure of Ca2NdIn2Hg2 (PBE-GGA).

Computed properties:
* N(E_F): 2.9 states/eV per cell
* calculated formation energy: -266 kJ/mol of formula units

Lattice parameters (Å, degrees): 4.9781 4.9781 9.9095 75.45 75.45 60.00
With the nearest neighbours (Å) after each atom.
Sites, in units of the cell vectors:
Nd1 0.0000 0.0000 0.0000  6 Hg 3.31, 6 In 3.60, 2 Ca 3.63
Ca1 0.8725 0.8725 0.3824  3 In 3.22, 3 Hg 3.49
Ca2 0.1275 0.1275 0.6176  3 In 3.22, 3 Hg 3.49
In1 0.7431 0.7431 0.7706  3 Hg 2.92, 3 Ca 3.22
In2 0.2569 0.2569 0.2294  3 Hg 2.92, 3 Ca 3.22
Hg1 0.6088 0.6088 0.1736  3 In 2.92
Hg2 0.3912 0.3912 0.8264  3 In 2.92

***

Entry 2:
Entry from Alexandria: an optimized crystal structure of SrTiRu2 (PBE-GGA).

Computed properties:
* N(E_F): 2.7 states/eV per cell
* calculated formation energy: 121 kJ/mol of formula units
* energy relative to the lowest polymorph listed for this composition: 0.0 meV per atom

Lattice parameters (Å, degrees): 4.6563 4.6563 4.6563 60.00 60.00 60.00
With the nearest neighbours (Å) after each atom.
Sites, in units of the cell vectors:
Ru1 0.7500 0.7500 0.7500  4 Sr 2.85, 4 Ti 2.85
Ru2 0.2500 0.2500 0.2500  4 Sr 2.85, 4 Ti 2.85
Ti1 0.0000 0.0000 0.0000  8 Ru 2.85
Sr1 0.5000 0.5000 0.5000  8 Ru 2.85

***

Entry 3:
Entry from Alexandria: an optimized crystal structure of SmHo3Au (PBE-GGA).

Computed properties:
* N(E_F): 10.3 states/eV per cell
* calculated formation energy: -135 kJ/mol of formula units

Lattice parameters (Å, degrees): 5.2380 7.5106 7.4302 90.01 90.00 89.99
With the nearest neighbours (Å) after each atom.
Sites, in units of the cell vectors:
Ho1 0.9756 0.1143 0.7009  1 Au 2.75
Ho2 0.9756 0.4969 0.4174  1 Au 2.83
Ho3 0.9756 0.4968 0.9840  1 Au 2.83
Ho4 0.4756 0.8558 0.9174  1 Au 2.83
Ho5 0.4756 0.2385 0.2006  1 Au 2.75
Ho6 0.4756 0.8560 0.4842  1 Au 2.83
Sm1 0.9756 0.9698 0.2009  6 Ho 3.31-3.47
Sm2 0.4756 0.3829 0.7006  6 Ho 3.31-3.47
Au1 0.9757 0.7484 0.7009  3 Ho 2.75-2.83
Au2 0.4757 0.6044 0.2009  3 Ho 2.75-2.83

***

| no. | spin magnetization (μB per cell) | density (Mg/m³) |
| --- | --- | --- |
| 1 | 0.0 | 7.0 |
| 2 | 0.0 | 7.9 |
| 3 | 0.0 | 9.6 |